# PBE AlRu2Br, optimized geometry
data_AlRu2Br
_symmetry_space_group_name_H-M 'C 1 2/m 1'
_symmetry_Int_Tables_number 12
_cell_length_a 8.497
_cell_length_b 2.957
_cell_length_c 5.091
_cell_angle_alpha 90.00
_cell_angle_beta 102.60
_cell_angle_gamma 90.00
loop_
_symmetry_equiv_pos_as_xyz
'x,y,z'
'-x,-y,-z'
'-x,y,-z'
'x,-y,z'
'x+1/2,y+1/2,z'
'-x+1/2,-y+1/2,-z'
'-x+1/2,y+1/2,-z'
'x+1/2,-y+1/2,z'
loop_
_atom_site_label
_atom_site_type_symbol
_atom_site_fract_x
_atom_site_fract_y
_atom_site_fract_z
_atom_site_occupancy
Al1 Al 0.000 0.000 0.000 1
Ru1 Ru 0.238 0.500 0.224 1
Br1 Br 0.000 0.500 0.500 1
# **Uncorrected formation energy**: 323 meV per atom
# **Energy**: -5.67 eV/atom
# **E above lowest polymorph**: 0.230 eV per atom

=====

# PBE AlRu2Br, optimized geometry
data_AlRu2Br
_symmetry_space_group_name_H-M 'P 4 m m'
_symmetry_Int_Tables_number 99
_cell_length_a 2.946
_cell_length_b 2.946
_cell_length_c 7.642
_cell_angle_alpha 90.00
_cell_angle_beta 90.00
_cell_angle_gamma 90.00
loop_
_symmetry_equiv_pos_as_xyz
'x,y,z'
'-y,x,z'
'-x,-y,z'
'y,-x,z'
'-x,y,z'
'y,x,z'
'x,-y,z'
'-y,-x,z'
loop_
_atom_site_label
_atom_site_type_symbol
_atom_site_fract_x
_atom_site_fract_y
_atom_site_fract_z
_atom_site_occupancy
Al1 Al 0.000 0.000 0.000 1
Ru1 Ru 0.000 0.000 0.581 1
Ru2 Ru 0.500 0.500 0.795 1
Br1 Br 0.500 0.500 0.329 1
# **Uncorrected formation energy**: 216 meV per atom
# **Energy**: -5.78 eV/atom
# **E above lowest polymorph**: 0.122 eV per atom

=====

# PBE AlRu2Br, optimized geometry
data_AlRu2Br
_symmetry_space_group_name_H-M 'P m m m'
_symmetry_Int_Tables_number 47
_cell_length_a 3.024
_cell_length_b 3.091
_cell_length_c 7.100
_cell_angle_alpha 90.00
_cell_angle_beta 90.00
_cell_angle_gamma 90.00
loop_
_symmetry_equiv_pos_as_xyz
'x,y,z'
'-x,-y,-z'
'-x,-y,z'
'x,y,-z'
'x,-y,-z'
'-x,y,z'
'-x,y,-z'
'x,-y,z'
loop_
_atom_site_label
_atom_site_type_symbol
_atom_site_fract_x
_atom_site_fract_y
_atom_site_fract_z
_atom_site_occupancy
Al1 Al 0.000 0.000 0.000 1
Ru1 Ru 0.500 0.500 0.198 1
Br1 Br 0.000 0.500 0.500 1
# **Uncorrected formation energy**: 158 meV per atom
# **Energy**: -5.83 eV/atom
# **E above lowest polymorph**: 0.064 eV per atom

=====

# PBE AlRu2Br, optimized geometry
data_AlRu2Br
_symmetry_space_group_name_H-M 'P m m 2'
_symmetry_Int_Tables_number 25
_cell_length_a 2.936
_cell_length_b 3.884
_cell_length_c 5.750
_cell_angle_alpha 90.00
_cell_angle_beta 90.00
_cell_angle_gamma 90.00
loop_
_symmetry_equiv_pos_as_xyz
'x,y,z'
'-x,-y,z'
'-x,y,z'
'x,-y,z'
loop_
_atom_site_label
_atom_site_type_symbol
_atom_site_fract_x
_atom_site_fract_y
_atom_site_fract_z
_atom_site_occupancy
Al1 Al 0.000 0.000 0.000 1
Ru1 Ru 0.000 0.000 0.564 1
Ru2 Ru 0.500 0.500 0.817 1
Br1 Br 0.500 0.500 0.385 1
# **Uncorrected formation energy**: 337 meV per atom
# **Energy**: -5.65 eV/atom
# **E above lowest polymorph**: 0.244 eV per atom

=====

# PBE Al2RuBr, optimized geometry
data_Al2RuBr
_symmetry_space_group_name_H-M 'C 1 2/m 1'
_symmetry_Int_Tables_number 12
_cell_length_a 9.252
_cell_length_b 3.120
_cell_length_c 4.805
_cell_angle_alpha 90.00
_cell_angle_beta 100.40
_cell_angle_gamma 90.00
loop_
_symmetry_equiv_pos_as_xyz
'x,y,z'
'-x,-y,-z'
'-x,y,-z'
'x,-y,z'
'x+1/2,y+1/2,z'
'-x+1/2,-y+1/2,-z'
'-x+1/2,y+1/2,-z'
'x+1/2,-y+1/2,z'
loop_
_atom_site_label
_atom_site_type_symbol
_atom_site_fract_x
_atom_site_fract_y
_atom_site_fract_z
_atom_site_occupancy
Al1 Al 0.222 0.000 0.209 1
Ru1 Ru 0.000 0.500 0.000 1
Br1 Br 0.000 0.000 0.500 1
# **Uncorrected formation energy**: 251 meV per atom
# **Energy**: -4.36 eV/atom
# **E above lowest polymorph**: 0.661 eV per atom

=====

# PBE AlRu2Br, optimized geometry
data_AlRu2Br
_symmetry_space_group_name_H-M 'F m -3 m'
_symmetry_Int_Tables_number 225
_symmetry_space_group_name_Hall '-F 4 2 3'
_cell_length_a 6.234
_cell_length_b 6.234
_cell_length_c 6.234
_cell_angle_alpha 90.00
_cell_angle_beta 90.00
_cell_angle_gamma 90.00
loop_
_atom_site_label
_atom_site_type_symbol
_atom_site_fract_x
_atom_site_fract_y
_atom_site_fract_z
_atom_site_occupancy
Al1 Al 0.000 0.000 0.000 1
Ru1 Ru 0.250 0.250 0.250 1
Br1 Br 0.000 0.000 0.500 1
# **Uncorrected formation energy**: 511 meV per atom
# **Energy**: -5.48 eV/atom
# **E above lowest polymorph**: 0.418 eV per atom